[1]
{"formula": "TaGaRh2", "functional": "PBE", "state": "optimized geometry", "lattice": [[2.906, 0.000, 0.000], [0.000, 2.906, 0.000], [0.000, 0.000, 7.074]], "species": ["Ta", "Ga", "Rh", "Rh"], "fractional_positions": [[0.000, 0.000, 0.000], [0.000, 0.000, 0.500], [0.500, 0.500, 0.271], [0.500, 0.500, 0.729]], "m_tot_mub_per_cell": 0.0, "delta_e_f_ev_per_atom": -0.632}


[2]
{"formula": "Na3SnTe", "functional": "PBE", "state": "optimized geometry", "lattice": [[5.806, 0.000, 0.000], [0.000, 5.806, 0.000], [0.000, 0.000, 5.806]], "species": ["Na", "Na", "Na", "Sn", "Te"], "fractional_positions": [[0.000, 0.000, 0.500], [0.000, 0.500, 0.000], [0.500, 0.000, 0.000], [0.500, 0.500, 0.500], [0.000, 0.000, 0.000]], "e_above_lowest_polymorph_mev_per_atom": 0, "formation_energy_uncorrected_kj_per_mol_atoms": -14, "m_tot_mub_per_cell": 0.6}


[3]
{"formula": "Ce6IrRu3", "functional": "PBE", "state": "optimized geometry", "lattice": [[5.202, -6.905, 0.000], [5.202, 6.905, 0.000], [0.000, 0.000, 7.037]], "species": ["Ce", "Ce", "Ce", "Ce", "Ce", "Ce", "Ce", "Ce", "Ce", "Ce", "Ce", "Ce", "Ir", "Ir", "Ru", "Ru", "Ru", "Ru", "Ru", "Ru"], "fractional_positions": [[0.016, 0.984, 0.500], [0.101, 0.553, 0.423], [0.253, 0.747, 0.891], [0.287, 0.344, 0.817], [0.344, 0.287, 0.317], [0.447, 0.899, 0.423], [0.553, 0.101, 0.923], [0.656, 0.713, 0.817], [0.713, 0.656, 0.317], [0.747, 0.253, 0.391], [0.899, 0.447, 0.923], [0.984, 0.016, 0.000], [0.148, 0.852, 0.210], [0.852, 0.148, 0.710], [0.085, 0.333, 0.177], [0.333, 0.085, 0.677], [0.397, 0.603, 0.593], [0.603, 0.397, 0.093], [0.667, 0.915, 0.177], [0.915, 0.667, 0.677]], "m_tot_mub_per_cell": 4.0, "delta_e_f_ev_per_atom": -0.270}


[4]
{"formula": "TiNb4Mo", "functional": "PBE", "state": "optimized geometry", "lattice": [[4.061, -2.338, 0.000], [4.061, 2.338, 0.000], [-0.008, 0.000, 5.537]], "species": ["Ti", "Nb", "Nb", "Nb", "Nb", "Mo"], "fractional_positions": [[0.000, 0.000, 0.000], [0.333, 0.333, 0.333], [0.333, 0.333, 0.836], [0.667, 0.667, 0.164], [0.667, 0.667, 0.667], [0.000, 0.000, 0.500]], "e_above_lowest_polymorph_mev_per_atom": 0, "m_tot_mub_per_cell": 0.0, "delta_e_f_ev_per_atom": -0.023}